# YTmNO PBE-GGA relaxed
# Excess energy over the best structure of this formula in the dataset (meV per atom): 123
# Crystal system: orthorhombic
data_YTmNO
_cell_length_a 8.0161
_cell_length_b 6.5401
_cell_length_c 4.8838
_cell_angle_alpha 90.00
_cell_angle_beta 90.00
_cell_angle_gamma 90.00
_space_group_name_H-M_alt 'P b c m'
_space_group_IT_number 57
loop_
_space_group_symop_operation_xyz
'x,y,z'
'-x,-y,-z'
'-x,-y,z+1/2'
'x,y,-z+1/2'
'x,-y+1/2,-z'
'-x,y+1/2,z'
'-x,y+1/2,-z+1/2'
'x,-y+1/2,z+1/2'
loop_
_atom_site_label
_atom_site_fract_x
_atom_site_fract_y
_atom_site_fract_z
Y1 0.1283 0.0821 0.2500
Tm1 0.3792 0.5703 0.2500
N1 0.1291 0.0648 0.7500
O1 0.3738 0.5959 0.7500

# TbHo2Al3CuGe2 PBE-GGA relaxed
# Total DFT energy (no corrections) (eV per atom): -4.881
# Crystal system: orthorhombic
data_TbHo2Al3CuGe2
_cell_length_a 4.1752
_cell_length_b 12.1186
_cell_length_c 6.9903
_cell_angle_alpha 90.00
_cell_angle_beta 90.00
_cell_angle_gamma 90.00
_space_group_name_H-M_alt 'A m m 2'
_space_group_IT_number 38
loop_
_space_group_symop_operation_xyz
'x,y,z'
'-x,-y,z'
'-x,y,z'
'x,-y,z'
'x,y+1/2,z+1/2'
'-x,-y+1/2,z+1/2'
'-x,y+1/2,z+1/2'
'x,-y+1/2,z+1/2'
loop_
_atom_site_label
_atom_site_fract_x
_atom_site_fract_y
_atom_site_fract_z
Tb1 0.0000 0.0000 0.0000
Ho1 0.0000 0.2015 0.3955
Al1 0.5000 0.0000 0.3648
Al2 0.5000 0.1163 0.7124
Cu1 0.0000 0.0000 0.5953
Ge1 0.5000 0.1675 0.0971

# LaTbSi2Au2 PBE-GGA relaxed
# Total DFT energy (no corrections) (eV per atom): -5.334
# Crystal system: trigonal
data_LaTbSi2Au2
_cell_length_a 4.3775
_cell_length_b 4.3775
_cell_length_c 7.9797
_cell_angle_alpha 90.00
_cell_angle_beta 90.00
_cell_angle_gamma 120.00
_space_group_name_H-M_alt 'P 3 m 1'
_space_group_IT_number 156
loop_
_space_group_symop_operation_xyz
'x,y,z'
'-y,x-y,z'
'-x+y,-x,z'
'-y,-x,z'
'-x+y,y,z'
'x,x-y,z'
loop_
_atom_site_label
_atom_site_fract_x
_atom_site_fract_y
_atom_site_fract_z
La1 0.0000 0.0000 0.0000
Tb1 0.0000 0.0000 0.4954
Si1 0.3333 0.6667 0.2358
Si2 0.6667 0.3333 0.7157
Au1 0.3333 0.6667 0.7384
Au2 0.6667 0.3333 0.2802

# LiAgAu2 PBE-GGA relaxed
# Excess energy over the best structure of this formula in the dataset (meV per atom): 44
# Crystal system: cubic
data_LiAgAu2
_cell_length_a 6.5040
_cell_length_b 6.5040
_cell_length_c 6.5040
_cell_angle_alpha 90.00
_cell_angle_beta 90.00
_cell_angle_gamma 90.00
_space_group_name_H-M_alt 'F -4 3 m'
_space_group_IT_number 216
_space_group_name_Hall 'F -4 2 3'
loop_
_atom_site_label
_atom_site_fract_x
_atom_site_fract_y
_atom_site_fract_z
Li1 0.0000 0.0000 0.0000
Ag1 0.2500 0.2500 0.2500
Au1 0.0000 0.0000 0.5000
Au2 0.2500 0.2500 0.7500

# BePdW2 PBE-GGA relaxed
# Total DFT energy (no corrections) (eV per atom): -8.389
# Crystal system: cubic
data_BePdW2
_cell_length_a 6.1545
_cell_length_b 6.1545
_cell_length_c 6.1545
_cell_angle_alpha 90.00
_cell_angle_beta 90.00
_cell_angle_gamma 90.00
_space_group_name_H-M_alt 'F -4 3 m'
_space_group_IT_number 216
_space_group_name_Hall 'F -4 2 3'
loop_
_atom_site_label
_atom_site_fract_x
_atom_site_fract_y
_atom_site_fract_z
Be1 0.0000 0.0000 0.0000
Pd1 0.2500 0.2500 0.2500
W1 0.0000 0.0000 0.5000
W2 0.2500 0.2500 0.7500

# Ni3Bi PBE-GGA relaxed
# Total DFT energy (no corrections) (eV per atom): -5.043
# Crystal system: tetragonal
data_Ni3Bi
_cell_length_a 3.8588
_cell_length_b 3.8588
_cell_length_c 7.5002
_cell_angle_alpha 90.00
_cell_angle_beta 90.00
_cell_angle_gamma 90.00
_space_group_name_H-M_alt 'I 4/m m m'
_space_group_IT_number 139
_space_group_name_Hall '-I 4 2'
loop_
_atom_site_label
_atom_site_fract_x
_atom_site_fract_y
_atom_site_fract_z
Ni1 0.0000 0.0000 0.0000
Ni2 0.0000 0.5000 0.2500
Bi1 0.0000 0.0000 0.5000

# Nd3Cu2Ge4Pd2 PBE-GGA relaxed
# Total DFT energy (no corrections) (eV per atom): -5.343
# Crystal system: orthorhombic
data_Nd3Cu2Ge4Pd2
_cell_length_a 4.1330
_cell_length_b 4.3013
_cell_length_c 25.0696
_cell_angle_alpha 90.00
_cell_angle_beta 90.00
_cell_angle_gamma 90.00
_space_group_name_H-M_alt 'I m m m'
_space_group_IT_number 71
_space_group_name_Hall '-I 2 2'
loop_
_atom_site_label
_atom_site_fract_x
_atom_site_fract_y
_atom_site_fract_z
Nd1 0.0000 0.0000 0.0000
Nd2 0.0000 0.5000 0.1521
Cu1 0.0000 0.0000 0.2497
Ge1 0.0000 0.0000 0.4501
Ge2 0.0000 0.5000 0.3026
Pd1 0.0000 0.5000 0.4023

# Tc2HgBi PBE-GGA relaxed
# Total DFT energy (no corrections) (eV per atom): -5.403
# Crystal system: cubic
data_Tc2HgBi
_cell_length_a 6.7654
_cell_length_b 6.7654
_cell_length_c 6.7654
_cell_angle_alpha 90.00
_cell_angle_beta 90.00
_cell_angle_gamma 90.00
_space_group_name_H-M_alt 'F -4 3 m'
_space_group_IT_number 216
_space_group_name_Hall 'F -4 2 3'
loop_
_atom_site_label
_atom_site_fract_x
_atom_site_fract_y
_atom_site_fract_z
Tc1 0.0000 0.0000 0.0000
Tc2 0.2500 0.2500 0.2500
Hg1 0.2500 0.2500 0.7500
Bi1 0.0000 0.0000 0.5000

# Y4Hf2Al3N3 PBE-GGA relaxed
# Total DFT energy (no corrections) (eV per atom): -7.850
# Crystal system: monoclinic
data_Y4Hf2Al3N3
_cell_length_a 10.2526
_cell_length_b 5.9326
_cell_length_c 14.9590
_cell_angle_alpha 90.00
_cell_angle_beta 103.47
_cell_angle_gamma 90.00
_space_group_name_H-M_alt 'C 1 2/c 1'
_space_group_IT_number 15
loop_
_space_group_symop_operation_xyz
'x,y,z'
'-x,-y,-z'
'-x,y,-z+1/2'
'x,-y,z+1/2'
'x+1/2,y+1/2,z'
'-x+1/2,-y+1/2,-z'
'-x+1/2,y+1/2,-z+1/2'
'x+1/2,-y+1/2,z+1/2'
loop_
_atom_site_label
_atom_site_fract_x
_atom_site_fract_y
_atom_site_fract_z
Y1 0.1158 0.0768 0.0970
Y2 0.2141 0.0875 0.4030
Hf1 0.0617 0.4126 0.9234
Al1 0.0000 0.1515 0.7500
Al2 0.1328 0.4501 0.2485
N1 0.0776 0.2672 0.5000
N2 0.2500 0.2500 0.0000

# Hf4W2Au3N3 PBE-GGA relaxed
# Total DFT energy (no corrections) (eV per atom): -9.136
# Crystal system: monoclinic
data_Hf4W2Au3N3
_cell_length_a 9.7163
_cell_length_b 5.6495
_cell_length_c 13.7139
_cell_angle_alpha 90.00
_cell_angle_beta 103.37
_cell_angle_gamma 90.00
_space_group_name_H-M_alt 'C 1 2/c 1'
_space_group_IT_number 15
loop_
_space_group_symop_operation_xyz
'x,y,z'
'-x,-y,-z'
'-x,y,-z+1/2'
'x,-y,z+1/2'
'x+1/2,y+1/2,z'
'-x+1/2,-y+1/2,-z'
'-x+1/2,y+1/2,-z+1/2'
'x+1/2,-y+1/2,z+1/2'
loop_
_atom_site_label
_atom_site_fract_x
_atom_site_fract_y
_atom_site_fract_z
Hf1 0.1134 0.0863 0.0959
Hf2 0.2210 0.0840 0.4046
W1 0.0567 0.4202 0.9296
Au1 0.0000 0.1217 0.7500
Au2 0.1488 0.4342 0.2512
N1 0.0894 0.2311 0.5000
N2 0.2500 0.2500 0.0000

# CdCoNiGe PBE-GGA relaxed
# Excess energy over the best structure of this formula in the dataset (meV per atom): 203
# Crystal system: cubic
data_CdCoNiGe
_cell_length_a 6.1259
_cell_length_b 6.1259
_cell_length_c 6.1259
_cell_angle_alpha 90.00
_cell_angle_beta 90.00
_cell_angle_gamma 90.00
_space_group_name_H-M_alt 'F -4 3 m'
_space_group_IT_number 216
_space_group_name_Hall 'F -4 2 3'
loop_
_atom_site_label
_atom_site_fract_x
_atom_site_fract_y
_atom_site_fract_z
Cd1 0.0000 0.0000 0.0000
Co1 0.0000 0.0000 0.5000
Ni1 0.2500 0.2500 0.7500
Ge1 0.2500 0.2500 0.2500

# ScSn2Pt PBE-GGA relaxed
# Total DFT energy (no corrections) (eV per atom): -5.469
# Crystal system: cubic
data_ScSn2Pt
_cell_length_a 6.9643
_cell_length_b 6.9643
_cell_length_c 6.9643
_cell_angle_alpha 90.00
_cell_angle_beta 90.00
_cell_angle_gamma 90.00
_space_group_name_H-M_alt 'F -4 3 m'
_space_group_IT_number 216
_space_group_name_Hall 'F -4 2 3'
loop_
_atom_site_label
_atom_site_fract_x
_atom_site_fract_y
_atom_site_fract_z
Sc1 0.0000 0.0000 0.0000
Sn1 0.0000 0.0000 0.5000
Sn2 0.2500 0.2500 0.7500
Pt1 0.2500 0.2500 0.2500

| no. | V (Å³/f.u.) |
| --- | --- |
| 1 | 64.01 |
| 2 | 176.85 |
| 3 | 132.42 |
| 4 | 68.78 |
| 5 | 58.28 |
| 6 | 55.84 |
| 7 | 222.84 |
| 8 | 77.42 |
| 9 | 221.21 |
| 10 | 183.10 |
| 11 | 57.47 |
| 12 | 84.45 |